Record 1
Computed, not measured: Rb2LiZrBi after structural relaxation at the PBE level of DFT.

Lattice parameters (Å, degrees): 6.189 5.207 6.189 90.00 90.00 90.00
Element x y z (fractional)
Rb 0.000 0.000 0.500
Rb 0.500 0.000 0.000
Bi 0.000 0.500 0.000
Zr 0.500 0.500 0.500
Li 0.000 0.000 0.000

Summary:
Space group: P4/mmm
Total moment (μB per formula unit): 3.50
Total energy (eV/cell): -12.809
ΔE_f (eV per atom): 0.69

=====

Record 2
Computed, not measured: MgNiW after structural relaxation at the PBE level of DFT.

Lattice parameters (Å, degrees): 5.028 2.672 6.782 98.97 87.46 95.53
Element x y z (fractional)
Ni 0.510 0.552 0.413
Ni 0.984 0.401 0.033
Mg 0.471 0.911 0.087
Mg 0.713 0.445 0.726
W 0.991 0.040 0.370
W 0.206 0.952 0.705

Summary:
Space group: P1
ΔE to the lowest computed polymorph (meV/atom): 151
Total moment (μB per formula unit): 0.00
Total energy (eV/cell): -39.234
ΔE_f (eV per atom): 0.24

=====

Record 3
Computed, not measured: Zn2SbPd8 after structural relaxation at the PBE level of DFT.

Lattice parameters (Å, degrees): 4.125 6.186 7.287 105.53 106.44 90.00
Element x y z (fractional)
Zn 0.781 0.347 0.562
Zn 0.219 0.653 0.438
Sb 0.500 0.000 0.000
Pd 0.401 0.536 0.802
Pd 0.679 0.925 0.357
Pd 0.846 0.782 0.691
Pd 0.959 0.265 0.917
Pd 0.154 0.218 0.309
Pd 0.321 0.075 0.643
Pd 0.599 0.464 0.198
Pd 0.041 0.735 0.083

Summary:
Space group: C2/m
ΔE to the lowest computed polymorph (meV/atom): 0
Total moment (μB per formula unit): 0.00
Total energy (eV/cell): -52.421

=====

Record 4
Computed, not measured: Ca4As7Ir8 after structural relaxation at the PBE level of DFT.

Lattice parameters (Å, degrees): 4.116 13.087 13.634 81.86 90.00 90.00
Element x y z (fractional)
As 0.250 0.745 0.080
As 0.750 0.255 0.920
As 0.250 0.903 0.415
As 0.750 0.097 0.585
As 0.250 0.530 0.872
As 0.750 0.470 0.128
As 0.250 0.848 0.721
As 0.750 0.152 0.279
As 0.250 0.609 0.566
As 0.750 0.391 0.434
As 0.250 0.308 0.690
As 0.750 0.692 0.310
As 0.250 0.060 0.102
As 0.750 0.940 0.898
Ca 0.250 0.214 0.433
Ca 0.750 0.786 0.567
Ca 0.250 0.515 0.291
Ca 0.750 0.485 0.709
Ca 0.250 0.289 0.106
Ca 0.750 0.711 0.894
Ca 0.250 0.100 0.798
Ca 0.750 0.900 0.202
Ir 0.250 0.342 0.861
Ir 0.750 0.658 0.139
Ir 0.250 0.721 0.401
Ir 0.750 0.279 0.599
Ir 0.250 0.921 0.998
Ir 0.750 0.079 0.002
Ir 0.250 0.424 0.527
Ir 0.750 0.576 0.473
Ir 0.250 0.054 0.281
Ir 0.750 0.946 0.719
Ir 0.250 0.556 0.048
Ir 0.750 0.444 0.952
Ir 0.250 0.664 0.730
Ir 0.750 0.336 0.270
Ir 0.250 0.985 0.573
Ir 0.750 0.015 0.427

Summary:
Space group: P2_1/m
Total moment (μB per formula unit): 0.00
Total energy (eV/cell): -246.989
ΔE_f (eV per atom): -0.63

=====

Record 5
Computed, not measured: Pr2BiRhO6 after structural relaxation at the PBE level of DFT.

Lattice parameters (Å, degrees): 5.720 6.105 8.297 90.00 92.04 90.00
Element x y z (fractional)
Pr 0.026 0.932 0.249
Pr 0.526 0.568 0.749
Pr 0.974 0.068 0.751
Pr 0.474 0.432 0.251
Bi 0.500 0.000 0.000
Bi 0.000 0.500 0.500
Rh 0.500 0.000 0.500
Rh 0.000 0.500 0.000
O 0.296 0.685 0.064
O 0.796 0.815 0.564
O 0.704 0.315 0.936
O 0.204 0.185 0.436
O 0.328 0.708 0.430
O 0.828 0.792 0.930
O 0.672 0.292 0.570
O 0.172 0.208 0.070
O 0.865 0.559 0.230
O 0.365 0.941 0.730
O 0.135 0.441 0.770
O 0.635 0.059 0.270

Summary:
Space group: P2_1/c
Total moment (μB per formula unit): 0.00
Total energy (eV/cell): -142.731

=====

Record 6
Computed, not measured: Sr3ZnSe after structural relaxation at the PBE level of DFT.

Lattice parameters (Å, degrees): 5.944 5.944 5.944 90.00 90.00 90.00
Element x y z (fractional)
Sr 0.000 0.500 0.000
Sr 0.000 0.000 0.500
Sr 0.500 0.000 0.000
Zn 0.500 0.500 0.500
Se 0.000 0.000 0.000

Summary:
Space group: Pm-3m
ΔE to the lowest computed polymorph (meV/atom): 0
Total moment (μB per formula unit): 0.00
Total energy (eV/cell): -12.676

=====

Record 7
Computed, not measured: SrFe2N3 after structural relaxation at the PBE level of DFT.

Lattice parameters (Å, degrees): 4.700 6.181 5.913 121.51 90.00 90.00
Element x y z (fractional)
Sr 0.750 0.272 0.544
Sr 0.250 0.728 0.456
Fe 0.500 0.194 0.000
Fe 0.500 0.806 0.000
Fe 0.000 0.806 0.000
Fe 0.000 0.194 0.000
N 0.250 0.527 0.837
N 0.750 0.473 0.163
N 0.750 0.690 0.163
N 0.250 0.310 0.837
N 0.250 0.091 0.181
N 0.750 0.909 0.819

Summary:
Space group: Cmcm
Total moment (μB per formula unit): 0.00
Total energy (eV/cell): -90.231

=====

Record 8
Computed, not measured: Rb5Pd after structural relaxation at the PBE level of DFT.

Lattice parameters (Å, degrees): 5.715 4.536 16.456 97.92 90.00 90.00
Element x y z (fractional)
Rb 0.500 0.815 0.629
Rb 0.000 0.581 0.162
Rb 0.500 0.500 0.000
Rb 0.000 0.419 0.838
Rb 0.500 0.185 0.371
Pd 0.000 0.000 0.000

Summary:
Space group: Cmmm
Total moment (μB per formula unit): 0.00
Total energy (eV/cell): -9.313
ΔE_f (eV per atom): 0.12